PuFe2F8: optimized geometry, PBE with a Hubbard U.

The structure in POSCAR format:
```
PuFe2F8
1.0
-4.672 2.440 -1.040
-0.820 -5.712 -1.408
-1.238 -4.201 4.013
F Pu Fe
8 1 2
direct
0.740 0.606 0.049 F
0.727 0.101 0.101 F
0.273 0.899 0.899 F
0.750 0.539 0.539 F
0.740 0.049 0.606 F
0.260 0.394 0.951 F
0.250 0.461 0.461 F
0.260 0.951 0.394 F
0.000 0.000 0.000 Pu
0.522 0.659 0.659 Fe
0.478 0.341 0.341 Fe
```

Values from the calculation:
Total energy in eV/atom: -6.48
Space group: C2/m, No. 12
Total moment in μB per formula unit: 12.0
Calculated volume in A^3/atom: 13.71